The following is a DFT calculation (GGA-PBE) of an optimized crystal structure of BaSb2TeI.

Cell lengths 6.853, 6.853, 6.378 Å; angles 90.00, 90.00, 90.00 degrees
Positions (direct):
Ba: 0.000 0.000 0.000
Sb: 0.000 0.500 0.000
Sb: 0.500 0.000 0.000
Te: 0.500 0.500 0.500
I: 0.000 0.000 0.500

Formation energy (no corrections) ... 0.59 eV per atom
Energy ... -11.89 eV for the cell shown
Space-group type ... P4/mmm (123)
Density of states at the Fermi level ... 6.41 states/eV/f.u.
V ... 59.92 Å³ per atom

=====

The following is a DFT calculation (GGA-PBE) of an optimized crystal structure of K2Sn4Br9.

Cell lengths 7.698, 8.219, 21.271 Å; angles 86.19, 88.72, 62.54 degrees
Positions (direct):
K: 0.009 0.452 0.350
K: 0.023 0.446 0.151
K: 0.977 0.554 0.849
K: 0.991 0.548 0.650
Sn: 0.263 0.908 0.655
Sn: 0.326 0.835 0.997
Sn: 0.331 0.800 0.509
Sn: 0.351 0.780 0.193
Sn: 0.649 0.220 0.807
Sn: 0.669 0.200 0.491
Sn: 0.674 0.165 0.003
Sn: 0.737 0.092 0.345
Br: 0.009 0.211 0.579
Br: 0.023 0.824 0.074
Br: 0.063 0.104 0.265
Br: 0.311 0.249 0.755
Br: 0.347 0.085 0.077
Br: 0.352 0.465 0.250
Br: 0.390 0.135 0.423
Br: 0.405 0.459 0.917
Br: 0.413 0.475 0.580
Br: 0.587 0.525 0.420
Br: 0.595 0.541 0.083
Br: 0.610 0.865 0.577
Br: 0.648 0.535 0.750
Br: 0.653 0.915 0.923
Br: 0.689 0.751 0.245
Br: 0.937 0.896 0.735
Br: 0.977 0.176 0.926
Br: 0.991 0.789 0.421

Formation energy (no corrections) ... -0.94 eV per atom
Energy ... -94.61 eV for the cell shown
Space-group type ... P-1 (2)
V ... 39.71 Å³ per atom